Record 1
A plane-wave DFT calculation with GGA-PBE was carried out for an optimized crystal structure of LiZrTe2Pb.

The value obtained for the total energy is -3.440 eV per atom. For the magnetization, the calculation gives 1.64 μB/f.u.

The structure belongs to space group P4/mmm (No. 123); the cell edges are 6.035, 6.035 and 5.562 Å and the angles 90.00°, 90.00° and 90.00°. The distinct sites, in fractional coordinates, are Li at (0.000, 0.000, 0.000), Zr at (0.500, 0.500, 0.000), Te at (0.000, 0.500, 0.500) and Pb at (0.500, 0.500, 0.500).

Record 2
A plane-wave DFT calculation with GGA-PBE was carried out for an optimized crystal structure of Li4ThPb5.

The value obtained for the total energy is -3.622 eV per atom. For the magnetization, the calculation gives 0.00 μB/f.u. Its energy of formation is -0.2608 eV per atom.

The structure belongs to space group P4/mmm (No. 123); the cell edges are 3.575, 3.575 and 18.892 Å and the angles 90.00°, 90.00° and 90.00°. The distinct sites, in fractional coordinates, are Li at (0.000, 0.000, 0.093), Li at (0.000, 0.000, 0.282), Th at (0.000, 0.000, 0.500), Pb at (0.500, 0.500, 0.000), Pb at (0.500, 0.500, 0.187) and Pb at (0.500, 0.500, 0.375).

Record 3
A plane-wave DFT calculation with GGA-PBE was carried out for an optimized crystal structure of LiTh2Pb2.

The value obtained for the total energy is -5.044 eV per atom. For the magnetization, the calculation gives 0.00 μB/f.u. Its energy of formation is -0.2103 eV per atom.

The structure belongs to space group Ibam (No. 72); the cell edges are 6.601, 13.459 and 6.551 Å and the angles 90.00°, 90.00° and 90.00°. The distinct sites, in fractional coordinates, are Li at (0.000, 0.000, 0.250), Th at (0.228, 0.354, 0.000) and Pb at (0.243, 0.113, 0.000).

Record 4
A plane-wave DFT calculation with GGA-PBE was carried out for an optimized crystal structure of LiTh5Pb5.

The value obtained for the total energy is -5.224 eV per atom. For the magnetization, the calculation gives 0.00 μB/f.u. Its energy of formation is 0.0084 eV per atom.

The structure belongs to space group C2/m (No. 12); the cell edges are 12.253, 6.239 and 10.021 Å and the angles 90.00°, 115.91° and 90.00°. The distinct sites, in fractional coordinates, are Li at (0.000, 0.000, 0.000), Th at (0.000, 0.000, 0.500), Th at (0.120, 0.500, 0.732), Th at (0.181, 0.500, 0.373), Pb at (0.000, 0.500, 0.000), Pb at (0.121, 0.000, 0.279) and Pb at (0.204, 0.000, 0.883).

Record 5
A plane-wave DFT calculation with GGA-PBE was carried out for an optimized crystal structure of LiTh3Pb12.

The value obtained for the total energy is -4.490 eV per atom. For the magnetization, the calculation gives 0.00 μB/f.u. Its energy of formation is -0.1975 eV per atom.

The structure belongs to space group P4/mmm (No. 123); the cell edges are 4.896, 4.896 and 19.578 Å and the angles 90.00°, 90.00° and 90.00°. The distinct sites, in fractional coordinates, are Li at (0.000, 0.000, 0.000), Th at (0.000, 0.000, 0.254), Th at (0.000, 0.000, 0.500), Pb at (0.000, 0.500, 0.119), Pb at (0.000, 0.500, 0.375), Pb at (0.500, 0.500, 0.000), Pb at (0.500, 0.500, 0.246) and Pb at (0.500, 0.500, 0.500).

Record 6
A plane-wave DFT calculation with GGA-PBE was carried out for an optimized crystal structure of Li3ThPb3.

The value obtained for the total energy is -3.204 eV per atom. For the magnetization, the calculation gives 0.00 μB/f.u. Its energy of formation is 0.2659 eV per atom.

The structure belongs to space group Pm-3n (No. 223); the cell edges are 7.139, 7.139 and 7.139 Å and the angles 90.00°, 90.00° and 90.00°. The distinct sites, in fractional coordinates, are Li at (0.000, 0.250, 0.500), Th at (0.000, 0.000, 0.000) and Pb at (0.000, 0.500, 0.250).

Record 7
A plane-wave DFT calculation with GGA-PBE was carried out for an optimized crystal structure of LiTh3Pb5.

The value obtained for the total energy is -5.019 eV per atom. For the magnetization, the calculation gives 0.00 μB/f.u. Its energy of formation is -0.2728 eV per atom.

The structure belongs to space group P6_3/mcm (No. 193); the cell edges are 9.6207, 9.6207 and 6.4530 Å and the angles 90.00°, 90.00° and 120.00°. The distinct sites, in fractional coordinates, are Li at (0.0000, 0.0000, 0.0000), Th at (0.0000, 0.3854, 0.2500), Pb at (0.0000, 0.2644, 0.7500) and Pb at (0.3333, 0.6667, 0.0000).

Record 8
A plane-wave DFT calculation with GGA-PBE was carried out for an optimized crystal structure of Li2Th3Pb4.

The value obtained for the total energy is -4.831 eV per atom. For the magnetization, the calculation gives 0.00 μB/f.u. Its energy of formation is -0.2843 eV per atom.

The structure belongs to space group C2/m (No. 12); the cell edges are 11.932, 4.698 and 9.208 Å and the angles 90.00°, 109.53° and 90.00°. The distinct sites, in fractional coordinates, are Li at (0.189, 0.000, 0.369), Th at (0.000, 0.500, 0.000), Th at (0.123, 0.000, 0.690), Pb at (0.089, 0.500, 0.390) and Pb at (0.206, 0.000, 0.086).

Record 9
A plane-wave DFT calculation with GGA-PBE was carried out for an optimized crystal structure of Li3Th2Pb4.

The value obtained for the total energy is -4.230 eV per atom. For the magnetization, the calculation gives 0.00 μB/f.u. Its energy of formation is -0.2953 eV per atom.

The structure belongs to space group Cmce (No. 64); the cell edges are 6.526, 16.401 and 8.363 Å and the angles 90.00°, 90.00° and 90.00°. The distinct sites, in fractional coordinates, are Li at (0.000, 0.000, 0.000), Li at (0.250, 0.220, 0.250), Th at (0.000, 0.110, 0.594), Pb at (0.000, 0.184, 0.963) and Pb at (0.250, 0.052, 0.250).

Record 10
A plane-wave DFT calculation with GGA-PBE was carried out for an optimized crystal structure of Li2ThPb.

The value obtained for the total energy is -3.816 eV per atom. For the magnetization, the calculation gives 0.00 μB/f.u. Its energy of formation is -0.0769 eV per atom.

The structure belongs to space group P4/mmm (No. 123); the cell edges are 4.593, 4.593 and 4.887 Å and the angles 90.00°, 90.00° and 90.00°. The distinct sites, in fractional coordinates, are Li at (0.000, 0.500, 0.000), Th at (0.000, 0.000, 0.500) and Pb at (0.500, 0.500, 0.500).

Record 11
A plane-wave DFT calculation with GGA-PBE was carried out for an optimized crystal structure of LiThPb6.

The value obtained for the total energy is -4.107 eV per atom. For the magnetization, the calculation gives 0.00 μB/f.u. Its energy of formation is -0.1595 eV per atom.

The structure belongs to space group P4/mmm (No. 123); the cell edges are 4.804, 4.804 and 10.077 Å and the angles 90.00°, 90.00° and 90.00°. The distinct sites, in fractional coordinates, are Li at (0.000, 0.000, 0.000), Th at (0.000, 0.000, 0.500), Pb at (0.000, 0.500, 0.240), Pb at (0.500, 0.500, 0.000) and Pb at (0.500, 0.500, 0.500).

Record 12
A plane-wave DFT calculation with GGA-PBE was carried out for an optimized crystal structure of LiThTlPb.

The value obtained for the total energy is -3.994 eV per atom. For the magnetization, the calculation gives 0.00 μB/f.u. Its energy of formation is -0.1420 eV per atom. The calculation puts the energy above the most stable polymorph in this dataset at 0.074 eV/atom.

The structure belongs to space group F-43m (No. 216); the cell edges are 7.577, 7.577 and 7.577 Å and the angles 90.00°, 90.00° and 90.00°. The distinct sites, in fractional coordinates, are Li at (0.000, 0.000, 0.000), Th at (0.000, 0.000, 0.500), Tl at (0.250, 0.250, 0.250) and Pb at (0.250, 0.250, 0.750).

Q: magnetization of number 9 (Li3Th2Pb4)?
A: 0.00 μB/f.u.